Ca2YTlCl8: optimized geometry, GGA-PBE.

Summary:
Total magnetization: 0.0 μB/cell
Theoretical density: 2.93 g cm⁻³
Raw formation energy: -2434.3 kJ/mol of formula units
DOS at the Fermi energy: 0.00 states/eV per cell

abc: 6.416 8.717 6.665
angles: 90.00 90.46 90.00
Space group P2/m (No. 10)
Inequivalent atoms, fractional coordinates:
Ca  0.000  0.247  0.000 x2
Y  0.500  0.500  0.500 x1
Tl  0.500  0.000  0.500 x1
Cl  0.218  0.000  0.868 x2
Cl  0.232  0.500  0.819 x2
Cl  0.266  0.289  0.325 x4